Material: ScGaO2
Method: DFT, GGA-PBEsol
State: optimized geometry

Cell: 5.4886 5.4886 8.7809 Å, 90.00 90.00 90.00°
Last column: nearest neighbours and their distance in Å.
Space group I-42d (No. 122)
Symmetry-distinct sites (fractional):
Sc1 0.0000 0.0000 0.0000 [4 per cell]  4 O 1.98
Ga1 0.0000 0.0000 0.5000 [4 per cell]  4 O 2.54
O1 0.1654 0.7500 0.1250 [8 per cell]  2 Sc 1.98

Output
* calculated total energy: -7.234 eV per atom
* spin magnetization: 0.00 μB per formula unit
* E_form (uncorrected): -2.1231 eV per atom